a.
The following is a DFT calculation (PBE) of an optimized crystal structure of ScBeMo.

Structure (POSCAR):
```
ScBeMo
1.0
-3.197 0.963 2.856
-0.982 -0.813 -4.205
-0.291 -2.736 0.597
Be Sc Mo
1 1 1
Cartesian
-0.025 -0.234 0.051
-1.916 -2.064 -1.449
-2.529 -0.287 0.646
```

Properties
- Calculated volume: 47.1 Å³ per cell
- Total moment: 0.0 μB/f.u.
- D(E_F): 1.019 states/eV/atom

b.
The following is a DFT calculation (PBE) of an optimized crystal structure of ScBeMo.

Structure (POSCAR):
```
ScBeMo
1.0
6.240 -0.001 0.000
5.001 3.731 0.000
-5.620 -1.865 1.966
Mo Be Sc
1 1 1
Cartesian
3.981 1.321 0.000
11.142 3.697 0.000
7.359 2.442 0.000
```

Properties
- Calculated volume: 45.8 Å³ per cell
- Total moment: 0.0 μB/f.u.
- D(E_F): 0.854 states/eV/atom

Of them, b has the highest stability.

a.
The following is a DFT calculation (PBE) of an optimized crystal structure of ScBeMo3.

Structure (POSCAR):
```
ScBeMo3
1.0
4.344 0.000 0.000
0.000 4.344 0.000
0.000 0.000 4.344
Mo Sc Be
3 1 1
Cartesian
2.172 0.000 0.000
0.000 2.172 0.000
0.000 0.000 2.172
2.172 2.172 2.172
0.000 0.000 0.000
```

Properties
- Calculated volume: 82.0 Å³ per cell
- Total moment: 0.0 μB/f.u.
- D(E_F): 1.265 states/eV/atom

b.
The following is a DFT calculation (PBE) of an optimized crystal structure of ScBeMo3.

Structure (POSCAR):
```
ScBeMo3
1.0
4.581 0.000 0.000
0.000 4.581 0.000
0.000 0.000 4.581
Mo Sc Be
3 1 1
Cartesian
0.000 2.291 0.000
0.000 0.000 2.291
2.291 0.000 0.000
0.000 0.000 0.000
2.291 2.291 2.291
```

Properties
- Calculated volume: 96.1 Å³ per cell
- Total moment: 0.0 μB/f.u.
- D(E_F): 1.061 states/eV/atom

Of them, a has the highest stability.

a.
The following is a DFT calculation (PBE) of an optimized crystal structure of ScBe3Mo.

Structure (POSCAR):
```
ScBe3Mo
1.0
4.215 0.000 0.000
0.000 4.215 0.000
0.000 0.000 4.215
Sc Be Mo
1 3 1
Cartesian
0.000 0.000 0.000
2.107 0.000 0.000
0.000 0.000 2.107
0.000 2.107 0.000
2.107 2.107 2.107
```

Properties
- Calculated volume: 74.9 Å³ per cell
- Total moment: 1.1 μB/f.u.
- D(E_F): 0.659 states/eV/atom

b.
The following is a DFT calculation (PBE) of an optimized crystal structure of ScBe3Mo.

Structure (POSCAR):
```
ScBe3Mo
1.0
4.275 0.000 0.000
0.000 4.275 0.000
0.000 0.000 4.275
Be Sc Mo
3 1 1
Cartesian
0.000 0.000 2.138
0.000 2.138 0.000
2.138 0.000 0.000
2.138 2.138 2.138
0.000 0.000 0.000
```

Properties
- Calculated volume: 78.1 Å³ per cell
- Total moment: 0.0 μB/f.u.
- D(E_F): 0.662 states/eV/atom

Of them, b has the highest stability.

a.
The following is a DFT calculation (PBE) of an optimized crystal structure of BeMo2Se.

Structure (POSCAR):
```
BeMo2Se
1.0
-1.256 2.901 3.036
-4.262 0.600 0.828
-1.714 -1.393 3.786
Se Be Mo
1 1 2
Cartesian
-5.424 1.581 5.738
-3.616 1.054 3.825
0.000 0.000 0.000
-1.808 0.527 1.913
```

Properties
- Calculated volume: 59.5 Å³ per cell
- Total moment: 0.0 μB/f.u.
- D(E_F): 0.882 states/eV/atom

b.
The following is a DFT calculation (PBE) of an optimized crystal structure of BeMo2Se.

Structure (POSCAR):
```
BeMo2Se
1.0
-2.131 6.087 -0.892
-1.766 4.857 -3.960
-4.501 4.157 -2.201
Se Mo Be
1 2 1
Cartesian
-2.100 3.775 -1.763
-4.021 7.231 -3.377
-0.178 0.320 -0.149
-6.299 11.326 -5.289
```

Properties
- Calculated volume: 59.6 Å³ per cell
- Total moment: 0.0 μB/f.u.
- D(E_F): 0.559 states/eV/atom

Of them, b has the highest stability.

a.
The following is a DFT calculation (PBE) of an optimized crystal structure of BeMo2Se.

Structure (POSCAR):
```
BeMo2Se
1.0
4.668 -0.024 -0.008
1.272 4.491 0.008
-2.553 -2.788 2.738
Mo Be Se
2 1 1
Cartesian
0.283 0.213 0.000
2.687 2.021 0.000
0.844 1.969 1.373
2.542 -0.289 1.365
```

Properties
- Calculated volume: 57.5 Å³ per cell
- Total moment: 0.0 μB/f.u.
- D(E_F): 0.677 states/eV/atom

b.
The following is a DFT calculation (PBE) of an optimized crystal structure of BeMo2Se.

Structure (POSCAR):
```
BeMo2Se
1.0
3.028 0.000 0.000
0.000 3.028 0.000
0.000 0.000 6.114
Mo Be Se
2 1 1
Cartesian
0.000 0.000 5.942
0.000 0.000 3.229
1.514 1.514 4.586
1.514 1.514 1.529
```

Properties
- Calculated volume: 56.1 Å³ per cell
- Total moment: 0.0 μB/f.u.
- D(E_F): 0.780 states/eV/atom

Of them, b has the highest stability.

a.
The following is a DFT calculation (PBE) of an optimized crystal structure of Be3MoSe.

Structure (POSCAR):
```
Be3MoSe
1.0
-1.377 -2.544 3.028
0.383 -3.277 -2.579
3.937 -0.571 1.310
Mo Be Se
1 3 1
Cartesian
1.471 -3.196 0.880
1.968 -0.286 0.655
0.191 -1.639 -1.290
-0.688 -1.272 1.514
0.000 0.000 0.000
```

Properties
- Calculated volume: 73.5 Å³ per cell
- Total moment: 2.0 μB/f.u.
- D(E_F): 0.648 states/eV/atom

b.
The following is a DFT calculation (PBE) of an optimized crystal structure of Be3MoSe.

Structure (POSCAR):
```
Be3MoSe
1.0
-1.903 1.632 3.553
-3.786 0.220 -2.129
-0.979 -4.025 1.324
Mo Be Se
1 3 1
Cartesian
0.000 0.000 0.000
-0.952 0.816 1.777
-1.893 0.110 -1.064
-0.489 -2.012 0.662
-3.334 -1.087 1.374
```

Properties
- Calculated volume: 82.2 Å³ per cell
- Total moment: 0.0 μB/f.u.
- D(E_F): 0.840 states/eV/atom

Of them, a has the highest stability.

a.
The following is a DFT calculation (PBE) of an optimized crystal structure of BeMoSe3.

Structure (POSCAR):
```
BeMoSe3
1.0
4.551 0.000 0.000
0.000 4.551 0.000
0.000 0.000 4.551
Be Se Mo
1 3 1
Cartesian
0.000 0.000 0.000
0.000 2.275 0.000
2.275 0.000 0.000
0.000 0.000 2.275
2.275 2.275 2.275
```

Properties
- Calculated volume: 94.2 Å³ per cell
- Total moment: 2.4 μB/f.u.
- D(E_F): 0.385 states/eV/atom

b.
The following is a DFT calculation (PBE) of an optimized crystal structure of BeMoSe3.

Structure (POSCAR):
```
BeMoSe3
1.0
4.939 0.000 0.000
0.000 4.939 0.000
0.000 0.000 4.939
Mo Be Se
1 1 3
Cartesian
0.000 0.000 0.000
2.470 2.470 2.470
0.000 0.000 2.470
2.470 0.000 0.000
0.000 2.470 0.000
```

Properties
- Calculated volume: 120.5 Å³ per cell
- Total moment: 0.0 μB/f.u.
- D(E_F): 0.822 states/eV/atom

Of them, a has the highest stability.

a.
The following is a DFT calculation (PBE) of an optimized crystal structure of BeSiMo2.

Structure (POSCAR):
```
BeSiMo2
1.0
-0.491 3.838 1.368
-3.903 -1.258 0.151
0.442 -1.012 2.999
Mo Be Si
2 1 1
Cartesian
0.000 0.000 0.000
-2.197 1.290 0.759
-1.730 -1.135 1.575
-0.024 1.413 2.183
```

Properties
- Calculated volume: 53.1 Å³ per cell
- Total moment: 0.0 μB/f.u.
- D(E_F): 0.776 states/eV/atom

b.
The following is a DFT calculation (PBE) of an optimized crystal structure of BeSiMo2.

Structure (POSCAR):
```
BeSiMo2
1.0
0.000 2.977 2.977
2.977 0.000 2.977
2.977 2.977 0.000
Mo Be Si
2 1 1
Cartesian
4.465 4.465 4.465
1.488 1.488 1.488
0.000 0.000 0.000
2.977 2.977 2.977
```

Properties
- Calculated volume: 52.8 Å³ per cell
- Total moment: 0.0 μB/f.u.
- D(E_F): 0.907 states/eV/atom

Of them, a has the highest stability.

a.
The following is a DFT calculation (PBE) of an optimized crystal structure of BeSiMo2.

Structure (POSCAR):
```
BeSiMo2
1.0
3.155 0.000 0.000
0.000 3.155 0.000
0.000 0.000 5.432
Be Mo Si
1 2 1
Cartesian
1.577 1.577 4.045
0.000 0.000 5.360
1.577 1.577 1.353
0.000 0.000 2.821
```

Properties
- Calculated volume: 54.1 Å³ per cell
- Total moment: 0.0 μB/f.u.
- D(E_F): 0.540 states/eV/atom

b.
The following is a DFT calculation (PBE) of an optimized crystal structure of BeSiMo2.

Structure (POSCAR):
```
BeSiMo2
1.0
4.717 0.048 0.000
1.756 4.378 0.000
-3.237 -2.213 2.623
Si Be Mo
1 1 2
Cartesian
3.237 2.213 0.000
2.358 0.024 1.311
0.878 2.189 1.311
0.000 0.000 0.000
```

Properties
- Calculated volume: 53.9 Å³ per cell
- Total moment: 0.0 μB/f.u.
- D(E_F): 0.604 states/eV/atom

c.
The following is a DFT calculation (PBE) of an optimized crystal structure of BeSiMo2.

Structure (POSCAR):
```
BeSiMo2
1.0
-0.232 3.387 -0.548
-3.116 -0.379 -1.023
-3.046 0.404 3.782
Be Mo Si
1 2 1
Cartesian
-4.199 1.803 2.124
-1.956 1.718 0.652
-5.836 -0.003 2.448
-3.645 -0.067 1.126
```

Properties
- Calculated volume: 52.0 Å³ per cell
- Total moment: 0.0 μB/f.u.
- D(E_F): 0.553 states/eV/atom

Of them, c has the highest stability.

a.
The following is a DFT calculation (PBE) of an optimized crystal structure of BeSiMo2.

Structure (POSCAR):
```
BeSiMo2
1.0
4.644 -0.179 0.631
3.624 2.910 0.631
1.458 0.481 4.023
Si Mo Be
1 2 1
Cartesian
7.294 2.409 3.964
8.230 2.718 1.278
4.900 1.618 2.627
2.431 0.803 1.321
```

Properties
- Calculated volume: 53.8 Å³ per cell
- Total moment: 0.0 μB/f.u.
- D(E_F): 0.586 states/eV/atom

b.
The following is a DFT calculation (PBE) of an optimized crystal structure of BeSiMo2.

Structure (POSCAR):
```
BeSiMo2
1.0
4.752 -0.026 -0.022
3.993 2.575 -0.022
1.089 0.317 4.289
Si Mo Be
1 2 1
Cartesian
5.145 1.499 2.191
8.622 2.513 0.192
7.464 2.175 2.987
2.265 0.660 0.955
```

Properties
- Calculated volume: 53.0 Å³ per cell
- Total moment: 0.0 μB/f.u.
- D(E_F): 0.386 states/eV/atom

Of them, b has the highest stability.

a.
The following is a DFT calculation (PBE) of an optimized crystal structure of BeSiMo2.

Structure (POSCAR):
```
BeSiMo2
1.0
-2.113 -0.483 -2.270
2.308 -1.025 -1.930
-0.744 -4.969 1.750
Mo Si Be
2 1 1
Cartesian
-0.383 -2.558 0.901
-0.733 -4.896 1.724
-0.088 -1.996 -1.663
-0.460 -4.481 -0.788
```

Properties
- Calculated volume: 53.1 Å³ per cell
- Total moment: 0.0 μB/f.u.
- D(E_F): 0.425 states/eV/atom

b.
The following is a DFT calculation (PBE) of an optimized crystal structure of BeSiMo2.

Structure (POSCAR):
```
BeSiMo2
1.0
-2.931 0.357 -3.034
-3.167 -2.801 -0.224
-3.943 1.179 0.994
Si Mo Be
1 2 1
Cartesian
-7.531 -0.948 -1.698
-2.510 -0.316 -0.566
0.000 0.000 0.000
-5.021 -0.632 -1.132
```

Properties
- Calculated volume: 53.7 Å³ per cell
- Total moment: 0.0 μB/f.u.
- D(E_F): 0.409 states/eV/atom

Of them, b has the highest stability.

a.
The following is a DFT calculation (PBE) of an optimized crystal structure of BeSiMo2.

Structure (POSCAR):
```
BeSiMo2
1.0
4.372 0.032 0.000
0.716 4.313 0.000
-2.544 -2.173 2.815
Si Be Mo
1 1 2
Cartesian
0.358 2.157 1.408
2.186 0.016 1.408
2.544 2.173 0.000
0.000 0.000 0.000
```

Properties
- Calculated volume: 53.0 Å³ per cell
- Total moment: 0.0 μB/f.u.
- D(E_F): 0.857 states/eV/atom

b.
The following is a DFT calculation (PBE) of an optimized crystal structure of BeSiMo2.

Structure (POSCAR):
```
BeSiMo2
1.0
-0.492 -3.415 -1.218
3.624 -0.499 -0.064
1.307 -4.915 7.756
Be Mo Si
2 4 2
Cartesian
1.566 -1.957 -0.641
3.249 -3.685 3.526
2.198 -5.160 5.336
0.478 -3.385 1.184
3.678 -7.105 4.696
2.525 -2.008 1.732
1.191 -5.143 2.949
0.000 0.000 0.000
```

Properties
- Calculated volume: 119.2 Å³ per cell
- Total moment: 0.0 μB/f.u.
- D(E_F): 0.871 states/eV/atom

Of them, a has the highest stability.